Entry 1:
A relaxed ZrTi2Cl8 crystal, computed with PBE-GGA.

symmetry	No. 12
raw total energy	-5.035	eV per atom

Cell: 6.077 7.810 7.810 Å, 79.67 90.95 90.95°
Last column: magnetic moment on the atom in μB.
Atoms (fractional coordinates):
Zr: 0.000 0.000 0.000  0.24
Ti: 0.652 0.819 0.819  0.70
Ti: 0.348 0.181 0.181  0.70
Cl: 0.223 0.285 0.899  0.00
Cl: 0.777 0.101 0.715  0.00
Cl: 0.264 0.834 0.834  -0.01
Cl: 0.736 0.166 0.166  -0.01
Cl: 0.223 0.899 0.285  0.00
Cl: 0.777 0.715 0.101  0.00
Cl: 0.745 0.641 0.641  -0.01
Cl: 0.255 0.359 0.359  -0.01



Entry 2:
A relaxed TlCl2 crystal, computed with PBE-GGA.

symmetry	No. 205
raw total energy	-2.673	eV per atom

Cell: 7.051 7.051 7.051 Å, 90.00 90.00 90.00°
Atoms (fractional coordinates):
Tl: 0.000 0.000 0.000
Tl: 0.500 0.500 0.000
Tl: 0.500 0.000 0.500
Tl: 0.000 0.500 0.500
Cl: 0.652 0.652 0.348
Cl: 0.348 0.348 0.652
Cl: 0.152 0.848 0.652
Cl: 0.848 0.152 0.348
Cl: 0.348 0.152 0.152
Cl: 0.652 0.848 0.848
Cl: 0.848 0.348 0.848
Cl: 0.152 0.652 0.152



Entry 3:
A relaxed Tl2Cl crystal, computed with PBE-GGA.

symmetry	No. 71
raw total energy	-2.642	eV per atom

Cell: 6.210 6.210 6.210 Å, 142.38 142.15 54.43°
Atoms (fractional coordinates):
Cl: 0.000 0.000 0.000
Tl: 0.340 0.340 0.000
Tl: 0.660 0.660 0.000



Entry 4:
A relaxed Tl2Cl crystal, computed with PBE-GGA.

symmetry	No. 63
raw total energy	-2.727	eV per atom

Cell: 9.222 9.222 4.557 Å, 90.00 90.00 151.13°
Atoms (fractional coordinates):
Tl: 0.422 0.578 0.250
Tl: 0.578 0.422 0.750
Tl: 0.749 0.251 0.250
Tl: 0.251 0.749 0.750
Cl: 0.099 0.901 0.250
Cl: 0.901 0.099 0.750



Entry 5:
A relaxed Tl2Cl crystal, computed with PBE-GGA.

symmetry	No. 194
raw total energy	-2.531	eV per atom

Cell: 6.430 6.430 10.914 Å, 90.00 90.00 120.00°
Atoms (fractional coordinates):
Tl: 0.000 0.000 0.000
Tl: 0.000 0.000 0.500
Tl: 0.829 0.659 0.250
Tl: 0.171 0.341 0.750
Tl: 0.341 0.171 0.250
Tl: 0.829 0.171 0.250
Tl: 0.171 0.829 0.750
Tl: 0.659 0.829 0.750
Cl: 0.333 0.667 0.069
Cl: 0.667 0.333 0.569
Cl: 0.667 0.333 0.931
Cl: 0.333 0.667 0.431



Entry 6:
A relaxed TlCl2 crystal, computed with PBE-GGA.

symmetry	No. 88
raw total energy	-2.837	eV per atom

Cell: 7.123 7.123 9.428 Å, 112.20 112.18 90.01°
Atoms (fractional coordinates):
Tl: 0.625 0.875 0.250
Tl: 0.375 0.125 0.750
Tl: 0.125 0.375 0.250
Tl: 0.875 0.625 0.750
Cl: 0.288 0.452 0.082
Cl: 0.631 0.788 0.582
Cl: 0.951 0.294 0.582
Cl: 0.794 0.131 0.082
Cl: 0.205 0.869 0.918
Cl: 0.049 0.706 0.418
Cl: 0.369 0.212 0.418
Cl: 0.712 0.549 0.918



Entry 7:
A relaxed TlCl2 crystal, computed with PBE-GGA.

symmetry	No. 12
raw total energy	-2.618	eV per atom

Cell: 5.983 5.983 11.929 Å, 55.31 55.31 38.90°
Atoms (fractional coordinates):
Tl: 0.726 0.726 0.345
Tl: 0.274 0.274 0.655
Cl: 0.072 0.072 0.585
Cl: 0.373 0.373 0.147
Cl: 0.627 0.627 0.853
Cl: 0.928 0.928 0.415



Entry 8:
A relaxed TlCl2 crystal, computed with PBE-GGA.

symmetry	No. 194
raw total energy	-2.566	eV per atom

Cell: 5.901 5.901 5.550 Å, 90.00 90.00 120.00°
Last column: magnetic moment on the atom in μB.
Atoms (fractional coordinates):
Tl: 0.667 0.333 0.250  0.04
Tl: 0.333 0.667 0.750  0.04
Cl: 0.000 0.000 0.000  0.00
Cl: 0.000 0.000 0.500  0.00
Cl: 0.333 0.667 0.250  0.07
Cl: 0.667 0.333 0.750  0.07



Entry 9:
A relaxed Tl4Cl crystal, computed with PBE-GGA.

symmetry	No. 229
raw total energy	-2.424	eV per atom

Cell: 6.185 6.185 6.185 Å, 109.47 109.47 109.47°
Atoms (fractional coordinates):
Tl: 0.500 0.000 0.000
Tl: 0.500 0.500 0.500
Tl: 0.000 0.500 0.000
Tl: 0.000 0.000 0.500
Cl: 0.000 0.000 0.000



Entry 10:
A relaxed Tl5Cl3 crystal, computed with PBE-GGA.

symmetry	No. 65
raw total energy	-2.780	eV per atom

Cell: 6.933 6.933 5.050 Å, 90.00 90.00 94.97°
Atoms (fractional coordinates):
Tl: 0.000 0.000 0.000
Tl: 0.000 0.500 0.000
Tl: 0.500 0.000 0.000
Tl: 0.288 0.288 0.500
Tl: 0.712 0.712 0.500
Cl: 0.500 0.500 0.000
Cl: 0.793 0.207 0.500
Cl: 0.207 0.793 0.500



Entry 11:
A relaxed TlCl2 crystal, computed with PBE-GGA.

symmetry	No. 58
raw total energy	-2.714	eV per atom

Cell: 4.266 6.665 6.724 Å, 90.00 90.00 90.00°
Atoms (fractional coordinates):
Tl: 0.000 0.000 0.000
Tl: 0.500 0.500 0.500
Cl: 0.000 0.290 0.700
Cl: 0.000 0.710 0.300
Cl: 0.500 0.790 0.800
Cl: 0.500 0.210 0.200



Entry 12:
A relaxed TlCl2 crystal, computed with PBE-GGA.

symmetry	No. 63
raw total energy	-2.522	eV per atom

Cell: 10.519 10.519 4.187 Å, 90.00 90.00 157.43°
Atoms (fractional coordinates):
Tl: 0.123 0.877 0.750
Tl: 0.877 0.123 0.250
Cl: 0.749 0.251 0.750
Cl: 0.416 0.584 0.750
Cl: 0.251 0.749 0.250
Cl: 0.584 0.416 0.250



Entry 13:
A relaxed Tl2Cl3 crystal, computed with PBE-GGA.

symmetry	No. 167
raw total energy	-2.854	eV per atom

Cell: 7.450 7.450 8.231 Å, 63.09 63.09 60.00°
Atoms (fractional coordinates):
Tl: 0.847 0.847 0.460
Tl: 0.347 0.347 0.960
Tl: 0.153 0.153 0.540
Tl: 0.653 0.653 0.040
Cl: 0.063 0.750 0.750
Cl: 0.750 0.437 0.750
Cl: 0.437 0.063 0.750
Cl: 0.250 0.563 0.250
Cl: 0.563 0.937 0.250
Cl: 0.937 0.250 0.250



Entry 14:
A relaxed Tl2Cl crystal, computed with PBE-GGA.

symmetry	No. 189
raw total energy	-2.642	eV per atom

Cell: 8.974 8.974 4.006 Å, 90.00 90.00 120.00°
Atoms (fractional coordinates):
Tl: 0.279 0.000 0.000
Tl: 0.000 0.279 0.000
Tl: 0.721 0.721 0.000
Tl: 0.611 0.000 0.500
Tl: 0.000 0.611 0.500
Tl: 0.389 0.389 0.500
Cl: 0.333 0.667 0.000
Cl: 0.667 0.333 0.000
Cl: 0.000 0.000 0.500



Entry 15:
A relaxed Tl2Cl crystal, computed with PBE-GGA.

symmetry	No. 205
raw total energy	-2.603	eV per atom

Cell: 7.623 7.623 7.623 Å, 90.00 90.00 90.00°
Atoms (fractional coordinates):
Tl: 0.646 0.646 0.354
Tl: 0.354 0.354 0.646
Tl: 0.146 0.854 0.646
Tl: 0.854 0.146 0.354
Tl: 0.354 0.146 0.146
Tl: 0.646 0.854 0.854
Tl: 0.854 0.354 0.854
Tl: 0.146 0.646 0.146
Cl: 0.000 0.000 0.000
Cl: 0.500 0.500 0.000
Cl: 0.500 0.000 0.500
Cl: 0.000 0.500 0.500



Entry 16:
A relaxed Tl2Cl crystal, computed with PBE-GGA.

symmetry	No. 164
raw total energy	-2.677	eV per atom

Cell: 3.759 3.759 7.437 Å, 90.00 90.00 120.00°
Atoms (fractional coordinates):
Cl: 0.000 0.000 0.000
Tl: 0.667 0.333 0.697
Tl: 0.333 0.667 0.303



Entry 17:
A relaxed Tl3Cl4 crystal, computed with PBE-GGA.

symmetry	No. 227
raw total energy	-2.935	eV per atom

Cell: 9.022 9.022 9.022 Å, 60.02 60.02 60.02°
Atoms (fractional coordinates):
Tl: 0.500 0.000 0.500
Tl: 0.000 0.500 0.500
Tl: 0.500 0.500 0.000
Tl: 0.500 0.500 0.500
Tl: 0.875 0.875 0.875
Tl: 0.125 0.125 0.125
Cl: 0.751 0.250 0.250
Cl: 0.750 0.750 0.249
Cl: 0.750 0.750 0.750
Cl: 0.250 0.250 0.751
Cl: 0.750 0.249 0.750
Cl: 0.250 0.250 0.250
Cl: 0.249 0.750 0.750
Cl: 0.250 0.751 0.250



Entry 18:
A relaxed Tl2Cl crystal, computed with PBE-GGA.

symmetry	No. 12
raw total energy	-2.714	eV per atom

Cell: 6.229 6.229 8.855 Å, 67.65 67.65 36.20°
Atoms (fractional coordinates):
Tl: 0.940 0.940 0.335
Tl: 0.654 0.654 0.956
Tl: 0.346 0.346 0.044
Tl: 0.060 0.060 0.665
Cl: 0.329 0.329 0.642
Cl: 0.671 0.671 0.358



Entry 19:
A relaxed TlCl2 crystal, computed with PBE-GGA.

symmetry	No. 140
raw total energy	-2.552	eV per atom

Cell: 5.958 5.958 5.958 Å, 111.43 111.43 105.62°
Atoms (fractional coordinates):
Tl: 0.250 0.250 0.000
Tl: 0.750 0.750 0.000
Cl: 0.299 0.799 0.097
Cl: 0.701 0.201 0.903
Cl: 0.201 0.299 0.500
Cl: 0.799 0.701 0.500



Entry 20:
A relaxed Tl2Cl crystal, computed with PBE-GGA.

symmetry	No. 194
raw total energy	-2.652	eV per atom

Cell: 5.700 5.700 6.643 Å, 90.00 90.00 120.00°
Atoms (fractional coordinates):
Tl: 0.000 0.000 0.000
Tl: 0.000 0.000 0.500
Tl: 0.333 0.667 0.750
Tl: 0.667 0.333 0.250
Cl: 0.333 0.667 0.250
Cl: 0.667 0.333 0.750



Entry 21:
A relaxed Tl5Cl4 crystal, computed with PBE-GGA.

symmetry	No. 139
raw total energy	-2.889	eV per atom

Cell: 9.018 9.018 9.018 Å, 93.43 93.43 151.69°
Atoms (fractional coordinates):
Tl: 0.000 0.000 0.000
Tl: 0.667 0.333 0.000
Tl: 0.333 0.667 0.000
Tl: 0.333 0.333 0.666
Tl: 0.667 0.667 0.334
Cl: 0.750 0.000 0.750
Cl: 0.250 0.000 0.250
Cl: 0.000 0.250 0.250
Cl: 0.000 0.750 0.750



Entry 22:
A relaxed TlCl2 crystal, computed with PBE-GGA.

symmetry	No. 189
raw total energy	-2.647	eV per atom

Cell: 8.553 8.553 3.761 Å, 90.00 90.00 120.00°
Atoms (fractional coordinates):
Tl: 0.333 0.667 0.000
Tl: 0.667 0.333 0.000
Tl: 0.000 0.000 0.500
Cl: 0.226 0.000 0.000
Cl: 0.000 0.226 0.000
Cl: 0.774 0.774 0.000
Cl: 0.556 0.000 0.500
Cl: 0.000 0.556 0.500
Cl: 0.444 0.444 0.500



Entry 23:
A relaxed TlCl2 crystal, computed with PBE-GGA.

symmetry	No. 123
raw total energy	-2.547	eV per atom

Cell: 4.804 4.804 3.637 Å, 90.00 90.00 90.00°
Atoms (fractional coordinates):
Tl: 0.000 0.000 0.000
Cl: 0.000 0.500 0.500
Cl: 0.500 0.000 0.500



Entry 24:
A relaxed TlCl2 crystal, computed with PBE-GGA.

symmetry	No. 12
raw total energy	-2.685	eV per atom

Cell: 4.891 4.891 10.337 Å, 75.85 75.85 59.49°
Atoms (fractional coordinates):
Tl: 0.981 0.981 0.454
Tl: 0.742 0.742 0.102
Cl: 0.121 0.121 0.952
Cl: 0.601 0.601 0.604
Cl: 0.361 0.361 0.278
Cl: 0.361 0.361 0.778



Entry 25:
A relaxed TlCl2 crystal, computed with PBE-GGA.

symmetry	No. 164
raw total energy	-2.654	eV per atom

Cell: 4.375 4.375 5.854 Å, 90.00 90.00 120.00°
Atoms (fractional coordinates):
Tl: 0.000 0.000 0.000
Cl: 0.667 0.333 0.759
Cl: 0.333 0.667 0.241



| no. | raw formation energy (eV per atom) |
| --- | --- |
| 1 | -1.479 |
| 2 | -0.653 |
| 3 | -0.449 |
| 4 | -0.534 |
| 5 | -0.338 |
| 6 | -0.817 |
| 7 | -0.598 |
| 8 | -0.546 |
| 9 | -0.162 |
| 10 | -0.608 |
| 11 | -0.695 |
| 12 | -0.503 |
| 13 | -0.800 |
| 14 | -0.449 |
| 15 | -0.409 |
| 16 | -0.483 |
| 17 | -0.865 |
| 18 | -0.521 |
| 19 | -0.532 |
| 20 | -0.459 |
| 21 | -0.753 |
| 22 | -0.627 |
| 23 | -0.527 |
| 24 | -0.665 |
| 25 | -0.634 |